This record from Alexandria describes crystalline Cd2AgPbO at its relaxed geometry. The functional is PBE-GGA.

Output
energy: -12.50 eV per cell
space-group type: P4/mmm
D(E_F): 0.54 states/eV per atom
spin magnetization: 0.0 Bohr magnetons per cell
mass density: 7.53 g cm⁻³
formation energy (no corrections): 0.169 eV per atom

The structure in CIF format:
```
data_Cd2AgPbO
_chemical_formula_sum 'Cd2 Ag1 Pb1 O1'
_space_group_name_H-M_alt 'P 1'
_space_group_IT_number 1
_cell_length_a 5.549
_cell_length_b 3.982
_cell_length_c 5.549
_cell_angle_alpha 90.00
_cell_angle_beta 90.00
_cell_angle_gamma 90.00
loop_
_space_group_symop_operation_xyz
'x,y,z'
loop_
_atom_site_label
_atom_site_fract_x
_atom_site_fract_y
_atom_site_fract_z
Cd1 0.000 0.000 0.500
Cd2 0.500 0.000 0.000
Ag1 0.000 0.000 0.000
O1 0.000 0.500 0.000
Pb1 0.500 0.500 0.500
```